VASP calculation (GGA-PBE) on a relaxed Zr2Be3Ir crystal.

Cell: 4.969 4.969 4.860 Å, 90.02 120.79 119.93°
Fractional coordinates of all 6 atoms:
1 Be 0.000 0.000 0.500
2 Zr 0.251 0.626 0.877
3 Zr 0.749 0.374 0.123
4 Be 0.500 0.500 0.500
5 Ir 0.000 0.000 0.000
6 Be 0.500 0.000 0.500

## Properties
The calculation puts the calculated total energy at -39.57 eV/cell. The space group is R-3m, No. 166. As for the density of states at the Fermi level: 5.42 states/eV per cell. The formation energy from the elements comes out at -0.4051 eV per atom.

***

VASP calculation (GGA-PBE) on a relaxed KHoRuO6 crystal.

Cell: 5.591 5.591 5.808 Å, 90.00 90.00 60.00°
Fractional coordinates of all 9 atoms:
1 O 0.360 0.594 0.312
2 K 0.000 0.000 0.000
3 O 0.594 0.046 0.312
4 Ru 0.333 0.333 0.500
5 O 0.046 0.594 0.688
6 O 0.046 0.360 0.312
7 O 0.360 0.046 0.688
8 O 0.594 0.360 0.688
9 Ho 0.667 0.667 0.500

## Properties
The calculation puts the calculated total energy at -58.39 eV/cell. The space group is P312, No. 149. As for the raw formation energy: -1.52 eV per atom.

***

VASP calculation (GGA-PBE) on a relaxed Tb6Er6Tm crystal.

Cell: 6.612 6.612 11.242 Å, 90.00 90.00 119.97°
Each line ends with the local moment (μB).
Fractional coordinates of all 13 atoms:
1 Er 0.000 0.500 0.243  0.20
2 Er 0.500 0.500 0.756  0.20
3 Tb 0.000 0.000 0.657  0.26
4 Tb 0.333 0.667 0.000  0.04
5 Tb 0.667 0.333 0.000  0.04
6 Tm 0.000 0.000 0.000  0.07
7 Er 0.000 0.500 0.757  0.20
8 Er 0.500 0.000 0.757  0.20
9 Tb 0.667 0.333 0.500  0.35
10 Er 0.500 0.000 0.243  0.20
11 Tb 0.000 0.000 0.343  0.26
12 Er 0.500 0.500 0.244  0.20
13 Tb 0.333 0.667 0.500  0.35

## Properties
The calculation puts the calculated total energy at -55.85 eV/cell. The space group is P6/mmm, No. 191. As for the density of states at the Fermi level: 23.55 states/eV per cell. The formation energy from the elements comes out at 0.2912 eV per atom.

***

VASP calculation (GGA-PBE) on a relaxed Tb8Zn2Tc crystal.

Cell: 5.217 6.836 9.081 Å, 107.70 106.69 90.00°
Fractional coordinates of all 11 atoms:
1 Tb 0.804 0.697 0.609
2 Tb 0.026 0.790 0.052
3 Zn 0.817 0.289 0.633
4 Tb 0.974 0.210 0.948
5 Tb 0.339 0.034 0.678
6 Zn 0.183 0.711 0.367
7 Tc 0.500 0.000 0.000
8 Tb 0.592 0.436 0.184
9 Tb 0.196 0.303 0.391
10 Tb 0.408 0.564 0.816
11 Tb 0.661 0.966 0.322

## Properties
The calculation puts the calculated total energy at -51.30 eV/cell. The space group is C2/m, No. 12. As for the density of states at the Fermi level: 7.74 states/eV per cell. The formation energy from the elements comes out at -0.1222 eV per atom.

***

VASP calculation (GGA-PBE) on a relaxed Cs2CaBiO4 crystal.

Cell: 6.165 7.584 11.500 Å, 83.75 74.45 66.02°
Each line ends with the local moment (μB).
Fractional coordinates of all 16 atoms:
1 Bi 0.500 0.000 0.000  0.07
2 Bi 0.250 0.500 0.500  0.07
3 O 0.209 0.185 0.917  0.16
4 O 0.310 0.815 0.083  0.16
5 Cs 0.815 0.000 0.370  0.00
6 Ca 0.000 0.000 0.000  0.00
7 O 0.143 0.315 0.417  0.16
8 O 0.874 0.815 0.917  0.16
9 Ca 0.750 0.500 0.500  0.00
10 O 0.876 0.685 0.583  0.16
11 Cs 0.565 0.500 0.870  0.00
12 O 0.440 0.685 0.417  0.16
13 Cs 0.935 0.500 0.130  0.00
14 Cs 0.185 0.000 0.630  0.00
15 O 0.541 0.315 0.583  0.16
16 O 0.607 0.185 0.083  0.16

## Properties
The calculation puts the calculated total energy at -77.41 eV/cell. The space group is Fddd, No. 70. As for the density of states at the Fermi level: 4.28 states/eV per cell. As for the raw formation energy: -1.41 eV per atom.

***

VASP calculation (GGA-PBE) on a relaxed NdDyMg crystal.

Cell: 3.734 3.734 7.009 Å, 105.45 105.45 90.00°
Fractional coordinates of all 3 atoms:
1 Mg 0.670 0.670 0.341
2 Dy 0.323 0.323 0.645
3 Nd 0.007 0.007 0.014

## Properties
The calculation puts the calculated total energy at -11.10 eV/cell. The space group is I4mm, No. 107. As for the density of states at the Fermi level: 4.46 states/eV per cell. The formation energy from the elements comes out at -0.0448 eV per atom.

***

VASP calculation (GGA-PBE) on a relaxed Tb3Ho3Th2 crystal.

Cell: 6.143 6.143 8.696 Å, 62.08 62.10 71.05°
Fractional coordinates of all 8 atoms:
1 Th 0.249 0.249 0.501
2 Ho 0.127 0.627 0.746
3 Tb 0.372 0.872 0.256
4 Th 0.751 0.751 0.499
5 Ho 0.873 0.373 0.254
6 Tb 0.500 0.500 0.000
7 Tb 0.628 0.128 0.744
8 Ho 0.000 0.000 0.000

## Properties
The calculation puts the calculated total energy at -42.19 eV/cell. The space group is C2/m, No. 12. As for the density of states at the Fermi level: 11.32 states/eV per cell. The formation energy from the elements comes out at 0.0343 eV per atom.

***

VASP calculation (GGA-PBE) on a relaxed AcGe4Rh4 crystal.

Cell: 4.742 8.423 8.423 Å, 90.00 90.00 90.00°
Fractional coordinates of all 18 atoms:
1 Ge 0.000 0.353 0.791
2 Ge 0.000 0.647 0.209
3 Ge 0.500 0.147 0.709
4 Ac 0.500 0.500 0.500
5 Rh 0.500 0.388 0.873
6 Rh 0.000 0.888 0.373
7 Ge 0.000 0.791 0.647
8 Rh 0.000 0.373 0.112
9 Ge 0.500 0.853 0.291
10 Rh 0.500 0.612 0.127
11 Rh 0.000 0.112 0.627
12 Ge 0.500 0.291 0.147
13 Ac 0.000 0.000 0.000
14 Rh 0.500 0.127 0.388
15 Ge 0.000 0.209 0.353
16 Ge 0.500 0.709 0.853
17 Rh 0.000 0.627 0.888
18 Rh 0.500 0.873 0.612

## Properties
The calculation puts the calculated total energy at -114.70 eV/cell. The space group is I4/m, No. 87. As for the density of states at the Fermi level: 9.51 states/eV per cell. The formation energy from the elements comes out at -0.5965 eV per atom.